RbTe2Se4: relaxed, PBE.

Properties
**Symmetry**: C2
**Formation energy from raw total energies**: -252.5 meV/atom
**V**: 37.7 A^3/atom
**Final energy**: -45.91 eV per cell

Cell lengths 8.574, 8.573, 9.206 Å; angles 118.56, 105.41, 101.62 degrees
Sites, in units of the cell vectors:
Te (0.561, 0.377, 0.745)
Rb (0.173, 0.673, 0.500)
Se (0.812, 0.071, 0.629)
Se (0.825, 0.631, 0.167)
Rb (0.104, 0.104, 0.000)
Se (0.464, 0.658, 0.833)
Te (0.673, 0.367, 0.308)
Se (0.436, 0.588, 0.293)
Se (0.295, 0.143, 0.707)
Te (0.060, 0.365, 0.693)
Te (0.632, 0.817, 0.255)
Se (0.442, 0.183, 0.371)
Se (0.869, 0.176, 0.271)
Se (0.905, 0.598, 0.728)